DFT (GGA-PBE) results for a relaxed MgPt6W crystal.

Cell: 3.964 3.964 7.897 Å, 90.00 90.00 90.00°
Positions (direct):
Mg  0.000  0.000  0.000
Pt  0.000  0.500  0.258
Pt  0.000  0.500  0.742
Pt  0.500  0.000  0.258
Pt  0.500  0.000  0.742
Pt  0.500  0.500  0.000
Pt  0.500  0.500  0.500
W  0.000  0.000  0.500

For the total energy, the calculation gives -0.2506 hartree per atom. As for the space-group type: P4/mmm, No. 123.

=====

DFT (GGA-PBE) results for a relaxed TmLu4Ir2Pd crystal.

Cell: 4.844 4.844 7.180 Å, 90.00 90.00 90.00°
Positions (direct):
Tm  0.000  0.000  0.000
Lu  0.000  0.500  0.271
Lu  0.000  0.500  0.729
Lu  0.500  0.000  0.271
Lu  0.500  0.000  0.729
Ir  0.000  0.000  0.500
Ir  0.500  0.500  0.000
Pd  0.500  0.500  0.500

For the total energy, the calculation gives -0.2322 hartree per atom. As for the space-group type: P4/mmm, No. 123.

=====

DFT (GGA-PBE) results for a relaxed TbAlAsO crystal.

Cell: 3.951 4.757 6.912 Å, 90.00 90.00 90.00°
Positions (direct):
Tb  0.000  0.185  0.000
Tb  0.000  0.815  0.500
Al  0.500  0.337  0.342
Al  0.500  0.663  0.842
As  0.500  0.166  0.689
As  0.500  0.834  0.189
O  0.000  0.343  0.341
O  0.000  0.657  0.841

For the total energy, the calculation gives -0.2250 hartree per atom. As for the space-group type: Pmc2_1, No. 26.

=====

DFT (GGA-PBE) results for a relaxed KTbGdNi2 crystal.

Cell: 3.737 4.021 18.117 Å, 90.00 90.00 90.00°
Positions (direct):
K  0.000  0.000  0.000
K  0.000  0.500  0.500
Tb  0.500  0.000  0.669
Tb  0.500  0.500  0.169
Gd  0.500  0.000  0.330
Gd  0.500  0.500  0.830
Ni  0.000  0.000  0.208
Ni  0.000  0.000  0.789
Ni  0.000  0.500  0.289
Ni  0.000  0.500  0.708

For the total energy, the calculation gives -0.1638 hartree per atom. As for the space-group type: Amm2, No. 38.

=====

DFT (GGA-PBE) results for a relaxed SmGaPd2Pt2 crystal.

Cell: 5.549 8.741 4.478 Å, 90.00 90.00 90.00°
Positions (direct):
Sm  0.000  0.000  0.000
Sm  0.500  0.500  0.000
Ga  0.000  0.500  0.500
Ga  0.500  0.000  0.500
Pd  0.000  0.338  0.000
Pd  0.000  0.662  0.000
Pd  0.500  0.162  0.000
Pd  0.500  0.838  0.000
Pt  0.250  0.250  0.500
Pt  0.250  0.750  0.500
Pt  0.750  0.250  0.500
Pt  0.750  0.750  0.500

For the total energy, the calculation gives -0.2161 hartree per atom. As for the space-group type: Cmmm, No. 65.

=====

DFT (GGA-PBE) results for a relaxed Hf2AlTc crystal.

Cell: 6.569 6.569 6.569 Å, 90.00 90.00 90.00°
Positions (direct):
Hf  0.000  0.000  0.000
Hf  0.000  0.500  0.500
Hf  0.250  0.250  0.250
Hf  0.250  0.750  0.750
Hf  0.500  0.000  0.500
Hf  0.500  0.500  0.000
Hf  0.750  0.250  0.750
Hf  0.750  0.750  0.250
Al  0.000  0.000  0.500
Al  0.000  0.500  0.000
Al  0.500  0.000  0.000
Al  0.500  0.500  0.500
Tc  0.250  0.250  0.750
Tc  0.250  0.750  0.250
Tc  0.750  0.250  0.250
Tc  0.750  0.750  0.750

For the total energy, the calculation gives -0.3201 hartree per atom. As for the space-group type: F-43m, No. 216.

=====

DFT (GGA-PBE) results for a relaxed YNbGa crystal.

Cell: 6.824 6.824 6.824 Å, 90.00 90.00 90.00°
Positions (direct):
Y  0.000  0.000  0.000
Y  0.000  0.500  0.500
Y  0.500  0.000  0.500
Y  0.500  0.500  0.000
Nb  0.250  0.250  0.250
Nb  0.250  0.750  0.750
Nb  0.750  0.250  0.750
Nb  0.750  0.750  0.250
Ga  0.250  0.250  0.750
Ga  0.250  0.750  0.250
Ga  0.750  0.250  0.250
Ga  0.750  0.750  0.750

For the total energy, the calculation gives -0.2066 hartree per atom. As for the space-group type: F-43m, No. 216.

=====

DFT (GGA-PBE) results for a relaxed ScZnAg2 crystal.

Cell: 4.778 5.989 10.264 Å, 90.00 90.00 90.00°
Positions (direct):
Sc  0.000  0.249  0.000
Sc  0.000  0.251  0.500
Sc  0.000  0.749  0.500
Sc  0.000  0.751  0.000
Zn  0.000  0.000  0.746
Zn  0.000  0.500  0.246
Zn  0.500  0.000  0.090
Zn  0.500  0.500  0.590
Ag  0.000  0.000  0.243
Ag  0.000  0.500  0.743
Ag  0.500  0.000  0.587
Ag  0.500  0.248  0.831
Ag  0.500  0.252  0.331
Ag  0.500  0.500  0.087
Ag  0.500  0.748  0.331
Ag  0.500  0.752  0.831

For the total energy, the calculation gives -0.1259 hartree per atom. As for the space-group type: Amm2, No. 38.

=====

DFT (GGA-PBE) results for a relaxed LiYGa2Pt4 crystal.

Cell: 4.177 4.177 7.339 Å, 90.00 90.00 90.00°
Positions (direct):
Li  0.000  0.000  0.000
Y  0.500  0.500  0.500
Ga  0.000  0.000  0.500
Ga  0.500  0.500  0.000
Pt  0.000  0.500  0.227
Pt  0.000  0.500  0.773
Pt  0.500  0.000  0.227
Pt  0.500  0.000  0.773

For the total energy, the calculation gives -0.2059 hartree per atom. As for the space-group type: P4/mmm, No. 123.

=====

DFT (GGA-PBE) results for a relaxed AgGeBi2 crystal.

Cell: 7.450 7.450 7.450 Å, 90.00 90.00 90.00°
Positions (direct):
Ag  0.000  0.000  0.000
Ag  0.000  0.500  0.500
Ag  0.500  0.000  0.500
Ag  0.500  0.500  0.000
Ge  0.250  0.250  0.750
Ge  0.250  0.750  0.250
Ge  0.750  0.250  0.250
Ge  0.750  0.750  0.750
Bi  0.000  0.000  0.500
Bi  0.000  0.500  0.000
Bi  0.250  0.250  0.250
Bi  0.250  0.750  0.750
Bi  0.500  0.000  0.000
Bi  0.500  0.500  0.500
Bi  0.750  0.250  0.750
Bi  0.750  0.750  0.250

For the total energy, the calculation gives -0.1319 hartree per atom. As for the space-group type: F-43m, No. 216.

=====

DFT (GGA-PBE) results for a relaxed SrIrAuS3 crystal.

Cell: 7.388 7.388 9.804 Å, 90.00 90.00 149.98°
Positions (direct):
Sr  0.200  0.800  0.750
Sr  0.800  0.200  0.250
Ir  0.500  0.500  0.000
Ir  0.500  0.500  0.500
Au  0.125  0.875  0.250
Au  0.875  0.125  0.750
S  0.105  0.895  0.017
S  0.105  0.895  0.483
S  0.450  0.550  0.250
S  0.550  0.450  0.750
S  0.895  0.105  0.517
S  0.895  0.105  0.983

For the total energy, the calculation gives -0.1838 hartree per atom. As for the space-group type: Cmcm, No. 63.

=====

DFT (GGA-PBE) results for a relaxed Lu2Ta4Au3N3 crystal.

Cell: 5.627 5.627 14.003 Å, 101.65 101.65 60.02°
Positions (direct):
Lu  0.038  0.878  0.614
Lu  0.122  0.962  0.886
Lu  0.878  0.038  0.114
Lu  0.962  0.122  0.386
Ta  0.191  0.355  0.077
Ta  0.305  0.479  0.423
Ta  0.355  0.191  0.577
Ta  0.479  0.305  0.923
Ta  0.521  0.695  0.077
Ta  0.645  0.809  0.423
Ta  0.695  0.521  0.577
Ta  0.809  0.645  0.923
Au  0.083  0.343  0.751
Au  0.343  0.083  0.251
Au  0.491  0.509  0.250
Au  0.509  0.491  0.750
Au  0.657  0.917  0.749
Au  0.917  0.657  0.249
N  0.000  0.500  0.500
N  0.158  0.682  0.000
N  0.318  0.842  0.500
N  0.500  0.000  0.000
N  0.682  0.158  0.500
N  0.842  0.318  0.000

For the total energy, the calculation gives -0.3112 hartree per atom. As for the space-group type: C2/c, No. 15.

=====

DFT (GGA-PBE) results for a relaxed Cu5Ag2 crystal.

Cell: 2.733 3.636 19.193 Å, 90.00 90.00 90.00°
Positions (direct):
Cu  0.000  0.000  0.000
Cu  0.000  0.000  0.282
Cu  0.000  0.000  0.435
Cu  0.000  0.000  0.565
Cu  0.000  0.000  0.718
Cu  0.500  0.500  0.065
Cu  0.500  0.500  0.218
Cu  0.500  0.500  0.500
Cu  0.500  0.500  0.782
Cu  0.500  0.500  0.935
Ag  0.000  0.000  0.141
Ag  0.000  0.000  0.859
Ag  0.500  0.500  0.359
Ag  0.500  0.500  0.641

For the total energy, the calculation gives -0.1242 hartree per atom. As for the space-group type: Immm, No. 71.

=====

DFT (GGA-PBE) results for a relaxed HoNi crystal.

Cell: 3.633 3.633 3.601 Å, 90.00 90.00 120.00°
Positions (direct):
Ho  0.000  0.000  0.000
Ni  0.667  0.333  0.500

For the total energy, the calculation gives -0.1926 hartree per atom. As for the space-group type: P-6m2, No. 187.

=====

DFT (GGA-PBE) results for a relaxed NaNbSiOs crystal.

Cell: 6.322 6.322 6.322 Å, 90.00 90.00 90.00°
Positions (direct):
Na  0.000  0.000  0.000
Na  0.000  0.500  0.500
Na  0.500  0.000  0.500
Na  0.500  0.500  0.000
Nb  0.000  0.000  0.500
Nb  0.000  0.500  0.000
Nb  0.500  0.000  0.000
Nb  0.500  0.500  0.500
Si  0.250  0.250  0.250
Si  0.250  0.750  0.750
Si  0.750  0.250  0.750
Si  0.750  0.750  0.250
Os  0.250  0.250  0.750
Os  0.250  0.750  0.250
Os  0.750  0.250  0.250
Os  0.750  0.750  0.750

For the total energy, the calculation gives -0.2467 hartree per atom. As for the space-group type: F-43m, No. 216.

=====

DFT (GGA-PBE) results for a relaxed GdHf3C2Se2 crystal.

Cell: 3.498 3.498 12.833 Å, 90.00 90.00 120.00°
Positions (direct):
Gd  0.000  0.000  0.000
Hf  0.000  0.000  0.314
Hf  0.333  0.667  0.497
Hf  0.333  0.667  0.799
C  0.667  0.333  0.407
C  0.667  0.333  0.882
Se  0.000  0.000  0.647
Se  0.333  0.667  0.169

For the total energy, the calculation gives -0.3174 hartree per atom. As for the space-group type: P3m1, No. 156.